Record 1
VASP calculation (PBE-GGA) on an optimized crystal structure of Mn3VBr.

Output
Distance to the lowest polymorph of the same formula: 0.00 eV/f.u.
Formation energy from raw total energies: 1.000 eV/atom
V: 101.53 Å³/cell
DOS at the Fermi energy: 0.78 states/eV per atom
SG: Pm-3m, No. 221
VASP energy: -6.660 eV/atom
Total magnetization: 1.668 μB per atom

Unit cell a=4.6652 b=4.6652 c=4.6652 alpha=90.00 beta=90.00 gamma=90.00
Atoms (fractional coordinates):
Mn1 0.0000 0.0000 0.5000
Mn2 0.0000 0.5000 0.0000
Mn3 0.5000 0.0000 0.0000
V1 0.0000 0.0000 0.0000
Br1 0.5000 0.5000 0.5000



Record 2
VASP calculation (PBE-GGA) on an optimized crystal structure of MnV2Br.

Output
Distance to the lowest polymorph of the same formula: 0.00 eV/f.u.
Formation energy from raw total energies: 0.624 eV/atom
V: 57.90 Å³/cell
DOS at the Fermi energy: 0.78 states/eV per atom
SG: Fm-3m, No. 225
VASP energy: -6.646 eV/atom
Total magnetization: 0.127 μB per atom

Unit cell a=4.3424 b=4.3424 c=4.3424 alpha=60.00 beta=60.00 gamma=60.00
Atoms (fractional coordinates):
Mn1 0.0000 0.0000 0.0000
V1 0.2500 0.2500 0.2500
V2 0.7500 0.7500 0.7500
Br1 0.5000 0.5000 0.5000